## Ga2IBr (PBE-GGA)

Data for an optimized crystal structure of Ga2IBr.

total moment	0.00	μB per formula unit
polymorph energy (0 for the lowest one)	0.000	eV per atom

Unit cell a=4.713 b=8.983 c=15.176 alpha=103.83 beta=90.43 gamma=90.01
Sites, in units of the cell vectors:
Ga (0.000, 0.000, 0.000)
Ga (0.000, 0.492, 0.498)
Ga (0.002, 0.901, 0.501)
Ga (0.499, 0.500, 0.000)
Ga (0.500, 0.400, 0.498)
Ga (0.500, 0.902, 0.000)
Ga (0.502, 0.993, 0.501)
Ga (0.999, 0.402, 0.000)
I (0.005, 0.752, 0.643)
I (0.499, 0.137, 0.356)
I (0.505, 0.257, 0.643)
I (0.999, 0.641, 0.356)
Br (0.003, 0.252, 0.127)
Br (0.497, 0.650, 0.873)
Br (0.503, 0.752, 0.127)
Br (0.997, 0.150, 0.873)

## RuS (PBE-GGA)

Data for an optimized crystal structure of RuS.

total moment	0.00	μB per formula unit

Unit cell a=3.519 b=12.098 c=5.169 alpha=90.00 beta=90.00 gamma=90.00
Sites, in units of the cell vectors:
Ru (0.250, 0.084, 0.065)
Ru (0.250, 0.416, 0.065)
Ru (0.250, 0.750, 0.494)
Ru (0.750, 0.250, 0.506)
Ru (0.750, 0.584, 0.935)
Ru (0.750, 0.916, 0.935)
S (0.250, 0.250, 0.246)
S (0.250, 0.603, 0.210)
S (0.250, 0.897, 0.210)
S (0.750, 0.103, 0.790)
S (0.750, 0.397, 0.790)
S (0.750, 0.750, 0.754)

## NaAu3Se (PBE-GGA)

Data for an optimized crystal structure of NaAu3Se.

total moment	0.00	μB per formula unit
polymorph energy (0 for the lowest one)	0.806	eV per atom

Unit cell a=4.935 b=4.935 c=4.935 alpha=90.00 beta=90.00 gamma=90.00
Sites, in units of the cell vectors:
Na (0.000, 0.000, 0.000)
Au (0.000, 0.000, 0.500)
Au (0.000, 0.500, 0.000)
Au (0.500, 0.000, 0.000)
Se (0.500, 0.500, 0.500)

## CeEr3Al8 (PBE-GGA)

Data for an optimized crystal structure of CeEr3Al8.

total moment	0.52	μB per formula unit
energy relative to the elements	-0.476	eV per atom
polymorph energy (0 for the lowest one)	0.000	eV per atom

Unit cell a=5.539 b=5.539 c=9.127 alpha=90.00 beta=90.00 gamma=120.00
Sites, in units of the cell vectors:
Ce (0.000, 0.000, 0.000)
Er (0.000, 0.000, 0.361)
Er (0.667, 0.333, 0.498)
Er (0.667, 0.333, 0.865)
Al (0.162, 0.324, 0.680)
Al (0.162, 0.838, 0.680)
Al (0.333, 0.667, 0.436)
Al (0.333, 0.667, 0.931)
Al (0.504, 0.008, 0.185)
Al (0.504, 0.496, 0.185)
Al (0.676, 0.838, 0.680)
Al (0.992, 0.496, 0.185)

## Cu3SeI (PBE-GGA)

Data for an optimized crystal structure of Cu3SeI.

total moment	0.00	μB per formula unit
polymorph energy (0 for the lowest one)	0.000	eV per atom

Unit cell a=4.003 b=4.269 c=7.399 alpha=87.66 beta=88.45 gamma=62.69
Sites, in units of the cell vectors:
Cu (0.000, 0.000, 0.000)
Cu (0.301, 0.376, 0.108)
Cu (0.692, 0.630, 0.864)
Se (0.598, 0.757, 0.183)
I (0.871, 0.098, 0.656)

## DyTl2Pd9 (PBE-GGA)

Data for an optimized crystal structure of DyTl2Pd9.

total moment	0.00	μB per formula unit
energy relative to the elements	-0.424	eV per atom

Unit cell a=4.092 b=4.092 c=12.347 alpha=90.00 beta=90.00 gamma=90.00
Sites, in units of the cell vectors:
Dy (0.000, 0.000, 0.000)
Tl (0.000, 0.000, 0.337)
Tl (0.000, 0.000, 0.663)
Pd (0.000, 0.500, 0.168)
Pd (0.000, 0.500, 0.500)
Pd (0.000, 0.500, 0.832)
Pd (0.500, 0.000, 0.168)
Pd (0.500, 0.000, 0.500)
Pd (0.500, 0.000, 0.832)
Pd (0.500, 0.500, 0.000)
Pd (0.500, 0.500, 0.332)
Pd (0.500, 0.500, 0.668)

Ordered VASP energy results: -44.56; -82.23; -9.94; -55.27; -17.81; -61.16; unit eV for the cell shown.